Density functional theory data (PBE) for a relaxed TiReTcOs crystal.

Geometry as POSCAR:
```
TiReTcOs
1.0
4.378 0.000 0.000
2.189 3.792 0.000
2.189 1.264 3.575
Ti Os Tc Re
1 1 1 1
Direct
0.000 0.000 0.000 Ti
0.250 0.250 0.250 Os
0.750 0.750 0.750 Tc
0.500 0.500 0.500 Re
```

size of the total moment	0.0	μB per cell
formation enthalpy at 0 K	-0.58	eV per formula unit
space-group type	No. 216

Density functional theory data (PBE) for a relaxed Cd2OsPbF crystal.

Geometry as POSCAR:
```
Cd2OsPbF
1.0
-3.847 -3.538 -0.434
3.505 -3.838 0.223
-0.472 -0.128 5.221
F Cd Pb Os
1 2 1 1
Direct
0.500 0.500 0.500 F
0.500 0.000 0.000 Cd
0.000 0.000 0.500 Cd
0.000 0.500 0.000 Pb
0.000 0.000 0.000 Os
```

size of the total moment	0.3	μB per cell
space-group type	No. 123
ΔE_f (raw)	0.20	eV/atom

Calculated calculated volume, 14.84 28.62 Å³/atom (same order as the records).
Calculated E, -0.3907 -0.1296 Ha/atom (same order as the records).